1.
## KNa3Ga (SCAN)

Data for KNa3Ga at its PBEsol-relaxed geometry.

E_form: 0.061 eV/atom

abc: 5.801 5.801 5.801
angles: 90.00 90.00 90.00
Element x y z (fractional)
K (0.000, 0.000, 0.000)
Na (0.000, 0.500, 0.500)
Na (0.500, 0.000, 0.500)
Na (0.500, 0.500, 0.000)
Ga (0.500, 0.500, 0.500)

2.
## KNa2Ga3Si3O12 (SCAN)

Data for KNa2Ga3Si3O12 at its PBEsol-relaxed geometry.

ΔE_f (raw): -53.644 eV per formula unit

abc: 8.772 8.291 17.670
angles: 90.00 119.71 90.00
Element x y z (fractional)
K (0.001, 0.005, 0.251)
K (0.001, 0.495, 0.751)
K (0.999, 0.505, 0.249)
K (0.999, 0.995, 0.749)
Na (0.291, 0.531, 0.063)
Na (0.291, 0.969, 0.563)
Na (0.359, 0.533, 0.591)
Na (0.359, 0.967, 0.091)
Na (0.641, 0.033, 0.909)
Na (0.641, 0.467, 0.409)
Na (0.709, 0.031, 0.437)
Na (0.709, 0.469, 0.937)
Ga (0.032, 0.214, 0.923)
Ga (0.032, 0.286, 0.423)
Ga (0.315, 0.215, 0.734)
Ga (0.315, 0.285, 0.234)
Ga (0.345, 0.717, 0.907)
Ga (0.345, 0.783, 0.407)
Ga (0.655, 0.217, 0.593)
Ga (0.655, 0.283, 0.093)
Ga (0.685, 0.715, 0.766)
Ga (0.685, 0.785, 0.266)
Ga (0.968, 0.714, 0.577)
Ga (0.968, 0.786, 0.077)
Si (0.025, 0.671, 0.423)
Si (0.025, 0.829, 0.923)
Si (0.316, 0.671, 0.234)
Si (0.316, 0.829, 0.734)
Si (0.351, 0.170, 0.410)
Si (0.351, 0.330, 0.910)
Si (0.649, 0.670, 0.090)
Si (0.649, 0.830, 0.590)
Si (0.684, 0.171, 0.266)
Si (0.684, 0.329, 0.766)
Si (0.975, 0.171, 0.077)
Si (0.975, 0.329, 0.577)
O (0.072, 0.731, 0.013)
O (0.072, 0.769, 0.513)
O (0.110, 0.732, 0.872)
O (0.110, 0.768, 0.372)
O (0.118, 0.008, 0.949)
O (0.118, 0.492, 0.449)
O (0.131, 0.730, 0.694)
O (0.131, 0.770, 0.194)
O (0.188, 0.150, 0.142)
O (0.188, 0.350, 0.642)
O (0.220, 0.154, 0.451)
O (0.220, 0.346, 0.951)
O (0.247, 0.232, 0.817)
O (0.247, 0.268, 0.317)
O (0.269, 0.010, 0.690)
O (0.269, 0.490, 0.190)
O (0.401, 0.511, 0.891)
O (0.401, 0.989, 0.391)
O (0.403, 0.654, 0.340)
O (0.403, 0.846, 0.840)
O (0.447, 0.742, 0.705)
O (0.447, 0.758, 0.205)
O (0.465, 0.735, 0.524)
O (0.465, 0.765, 0.024)
O (0.535, 0.235, 0.976)
O (0.535, 0.265, 0.476)
O (0.553, 0.242, 0.795)
O (0.553, 0.258, 0.295)
O (0.597, 0.154, 0.160)
O (0.597, 0.346, 0.660)
O (0.599, 0.011, 0.609)
O (0.599, 0.489, 0.109)
O (0.731, 0.510, 0.810)
O (0.731, 0.990, 0.310)
O (0.753, 0.732, 0.683)
O (0.753, 0.768, 0.183)
O (0.780, 0.654, 0.049)
O (0.780, 0.846, 0.549)
O (0.812, 0.650, 0.358)
O (0.812, 0.850, 0.858)
O (0.869, 0.230, 0.806)
O (0.869, 0.270, 0.306)
O (0.882, 0.508, 0.551)
O (0.882, 0.992, 0.051)
O (0.890, 0.232, 0.628)
O (0.890, 0.268, 0.128)
O (0.928, 0.231, 0.487)
O (0.928, 0.269, 0.987)

no.,total magnetization (μB/f.u.)
1,0.64
2,0.00